First-principles (PBE-GGA) data for a relaxed structure of UInPd2, as listed in Alexandria via LeMat-Bulk.

Results
VASP energy: -6.1144 eV per atom
E_form: -0.0114 eV per atom
Space-group type: R-3m, No. 166

Cell lengths 9.9916, 9.9916, 9.9916 Å; angles 17.41, 17.41, 17.41 degrees
Closest atoms and distances in Å follow each position.
Positions (direct):
U 0.0000 0.0000 0.0000  2 Pd 2.63
In 0.5000 0.5000 0.5000  6 Pd 2.88, 6 In 3.02
Pd 0.0892 0.0892 0.0892  1 U 2.63, 3 In 2.88
Pd 0.9108 0.9108 0.9108  1 U 2.63, 3 In 2.88